# 1
This record from Alexandria describes a PBEsol-optimized structure of Be3NiF. The functional is meta-GGA SCAN.

```
5
Lattice="4.002 0.000 0.000 0.000 4.002 0.000 0.000 0.000 4.002" Properties=species:S:1:pos:R:3 pbc="T T T"
Ni 0.000 0.000 0.000
Be 0.000 2.001 0.000
Be 0.000 0.000 2.001
Be 2.001 0.000 0.000
F 2.001 2.001 2.001
```

## Properties
E_form (uncorrected) in eV/atom: 0.35

***

# 2
This record from Alexandria describes a PBEsol-optimized structure of TcWAu2. The functional is meta-GGA SCAN.

```
4
Lattice="-1.376 0.641 2.276 0.573 -3.949 1.460 4.584 1.531 2.341" Properties=species:S:1:pos:R:3 pbc="T T T"
Au 3.436 1.147 1.755
Au 1.148 0.383 0.586
Tc -0.401 -1.654 1.868
W 1.891 -0.889 3.038
```

## Properties
Final energy in eV per atom: -60.38

***

# 3
This record from Alexandria describes a PBEsol-optimized structure of NdScSb. The functional is meta-GGA SCAN.

```
6
Lattice="-1.560 -4.101 0.362 1.993 -0.413 3.903 -6.915 5.133 1.592" Properties=species:S:1:pos:R:3 pbc="T T T"
Sc 0.997 -0.207 1.952
Sc -0.780 -2.050 0.181
Sb -5.005 2.149 2.783
Sb -1.476 -1.530 3.074
Nd -2.352 1.010 1.308
Nd -4.129 -0.391 4.550
```

## Properties
E_form (uncorrected) in eV/atom: -0.97

***

# 4
This record from Alexandria describes a PBEsol-optimized structure of MnTeOs2. The functional is meta-GGA SCAN.

```
4
Lattice="-2.677 -0.564 0.883 0.480 -3.646 -0.872 3.379 -0.769 5.076" Properties=species:S:1:pos:R:3 pbc="T T T"
Mn -0.375 -2.477 1.960
Os 0.259 -0.133 0.701
Os 2.167 -2.815 4.772
Te 1.221 -0.629 3.302
```

## Properties
E_form (uncorrected) in eV/atom: 0.40

***

# 5
This record from Alexandria describes a PBEsol-optimized structure of Al22Mo5. The functional is meta-GGA SCAN.

```
54
Lattice="4.904 0.000 0.000 2.452 4.563 0.000 -2.452 0.000 36.637" Properties=species:S:1:pos:R:3 pbc="T T T"
Al 4.005 2.108 25.957
Al 1.671 2.527 24.461
Al 1.602 0.202 17.678
Al 5.277 3.801 4.720
Al 0.457 1.611 34.600
Al 4.136 3.893 20.357
Al 1.671 2.035 12.176
Al 4.136 0.670 16.281
Al 1.605 1.113 14.866
Al 5.362 2.951 2.038
Al 2.437 2.646 16.940
Al 0.222 0.393 8.945
Al 4.920 4.560 25.026
Al 2.779 0.173 7.639
Al -0.004 1.332 21.009
Al 2.437 1.917 19.698
Al 3.674 0.949 2.690
Al 4.051 1.520 13.599
Al 4.005 2.455 10.680
Al 2.779 4.389 28.999
Al 5.126 4.169 27.693
Al 1.602 4.361 18.960
Al 1.211 4.198 35.259
Al 2.828 2.079 35.996
Al 1.241 2.279 29.930
Al 0.015 0.002 11.611
Al 3.644 1.665 5.446
Al 1.211 0.365 1.379
Al 4.900 3.230 15.629
Al 2.897 0.246 30.495
Al 3.674 3.614 33.948
Al 2.828 2.483 0.641
Al -0.034 0.616 23.765
Al 1.448 2.675 9.374
Al 4.051 3.043 23.038
Al 3.644 2.897 31.192
Al 2.831 3.394 3.453
Al 2.831 1.169 33.184
Al 2.897 4.317 6.142
Al 1.605 3.450 21.772
Al 1.448 1.888 27.264
Al 1.241 2.284 6.707
Al 4.870 3.947 12.873
Al 0.373 0.761 31.918
Mo 3.755 1.957 28.646
Mo 2.453 3.589 14.299
Mo 1.227 3.255 32.618
Mo 2.529 0.325 10.327
Mo 3.755 2.606 7.991
Mo 4.899 2.281 18.319
Mo 2.529 4.238 26.310
Mo 1.227 1.308 4.020
Mo 2.453 0.973 22.338
Mo 3.673 0.000 0.000
```

## Properties
Final energy in eV per atom: -13.06

***

# 6
This record from Alexandria describes a PBEsol-optimized structure of Si2SbF. The functional is meta-GGA SCAN.

```
8
Lattice="-0.232 2.433 3.640 -3.100 -2.665 1.584 7.057 -4.226 0.634" Properties=species:S:1:pos:R:3 pbc="T T T"
Sb 1.146 -3.503 2.415
Sb 0.000 0.000 0.000
Si 0.424 -0.193 3.539
Si -1.060 -2.210 3.307
Si 3.549 -3.023 3.567
Si 4.538 -3.490 1.302
F 2.580 -0.954 3.443
F -1.666 -0.116 2.612
```

## Properties
E_form (uncorrected) in eV/atom: -0.12